# Sr4C2F5 (PBE, relaxed)
# Raw formation energy: -2.54 eV/atom
data_Sr4C2F5
_chemical_formula_sum 'Sr4 C2 F5'
_cell_length_a 3.879
_cell_length_b 7.088
_cell_length_c 8.617
_cell_angle_alpha 114.43
_cell_angle_beta 103.01
_cell_angle_gamma 90.00
_symmetry_space_group_name_H-M 'P 1'
_symmetry_Int_Tables_number 1
_symmetry_space_group_name_Hall 'P 1'
loop_
_atom_site_label
_atom_site_type_symbol
_atom_site_fract_x
_atom_site_fract_y
_atom_site_fract_z
Sr1 Sr 0.999 0.248 0.999
Sr2 Sr 0.711 0.710 0.422
Sr3 Sr 0.289 0.290 0.578
Sr4 Sr 0.001 0.752 0.001
C1 C 0.457 0.458 0.915
C2 C 0.543 0.542 0.085
F1 F 0.177 0.437 0.354
F2 F 0.823 0.083 0.646
F3 F 0.500 0.000 0.000
F4 F 0.823 0.563 0.646
F5 F 0.177 0.917 0.354

# SrC3F (PBE, relaxed)
# E above lowest polymorph: 0 meV per atom
# Raw formation energy: 2.49 eV/atom
data_SrC3F
_chemical_formula_sum 'Sr1 C3 F1'
_cell_length_a 4.076
_cell_length_b 4.076
_cell_length_c 4.076
_cell_angle_alpha 90.00
_cell_angle_beta 90.00
_cell_angle_gamma 90.00
_symmetry_space_group_name_H-M 'P 1'
_symmetry_Int_Tables_number 1
_symmetry_space_group_name_Hall 'P 1'
loop_
_atom_site_label
_atom_site_type_symbol
_atom_site_fract_x
_atom_site_fract_y
_atom_site_fract_z
Sr1 Sr 0.500 0.500 0.500
C1 C 0.000 0.500 0.000
C2 C 0.500 0.000 0.000
C3 C 0.000 0.000 0.500
F1 F 0.000 0.000 0.000

# SrC3F (PBE, relaxed)
# E above lowest polymorph: 868 meV per atom
# Raw formation energy: 3.36 eV/atom
data_SrC3F
_chemical_formula_sum 'Sr1 C3 F1'
_cell_length_a 5.350
_cell_length_b 5.350
_cell_length_c 5.350
_cell_angle_alpha 90.00
_cell_angle_beta 90.00
_cell_angle_gamma 90.00
_symmetry_space_group_name_H-M 'P 1'
_symmetry_Int_Tables_number 1
_symmetry_space_group_name_Hall 'P 1'
loop_
_atom_site_label
_atom_site_type_symbol
_atom_site_fract_x
_atom_site_fract_y
_atom_site_fract_z
C1 C 0.000 0.500 0.000
C2 C 0.000 0.000 0.500
C3 C 0.500 0.000 0.000
Sr1 Sr 0.000 0.000 0.000
F1 F 0.500 0.500 0.500

# SrCF2 (PBE, relaxed)
# E above lowest polymorph: 0 meV per atom
# Raw formation energy: -1.05 eV/atom
data_SrCF2
_chemical_formula_sum 'Sr1 C1 F2'
_cell_length_a 5.974
_cell_length_b 5.974
_cell_length_c 5.974
_cell_angle_alpha 40.67
_cell_angle_beta 40.67
_cell_angle_gamma 40.67
_symmetry_space_group_name_H-M 'P 1'
_symmetry_Int_Tables_number 1
_symmetry_space_group_name_Hall 'P 1'
loop_
_atom_site_label
_atom_site_type_symbol
_atom_site_fract_x
_atom_site_fract_y
_atom_site_fract_z
C1 C 0.000 0.000 0.000
Sr1 Sr 0.500 0.500 0.500
F1 F 0.125 0.125 0.125
F2 F 0.875 0.875 0.875

# Sr2TiCF (PBE, relaxed)
# Raw formation energy: 0.62 eV/atom
data_Sr2TiCF
_chemical_formula_sum 'Sr2 Ti1 C1 F1'
_cell_length_a 6.022
_cell_length_b 3.877
_cell_length_c 6.022
_cell_angle_alpha 90.00
_cell_angle_beta 90.00
_cell_angle_gamma 90.00
_symmetry_space_group_name_H-M 'P 1'
_symmetry_Int_Tables_number 1
_symmetry_space_group_name_Hall 'P 1'
loop_
_atom_site_label
_atom_site_type_symbol
_atom_site_fract_x
_atom_site_fract_y
_atom_site_fract_z
C1 C 0.500 0.500 0.500
Sr1 Sr 0.500 0.000 0.000
Sr2 Sr 0.000 0.000 0.500
Ti1 Ti 0.000 0.000 0.000
F1 F 0.000 0.500 0.000

# TaC3F (PBE, relaxed)
# E above lowest polymorph: 320 meV per atom
# Raw formation energy: 2.27 eV/atom
data_TaC3F
_chemical_formula_sum 'Ta1 C3 F1'
_cell_length_a 3.612
_cell_length_b 3.612
_cell_length_c 3.612
_cell_angle_alpha 90.00
_cell_angle_beta 90.00
_cell_angle_gamma 90.00
_symmetry_space_group_name_H-M 'P 1'
_symmetry_Int_Tables_number 1
_symmetry_space_group_name_Hall 'P 1'
loop_
_atom_site_label
_atom_site_type_symbol
_atom_site_fract_x
_atom_site_fract_y
_atom_site_fract_z
Ta1 Ta 0.500 0.500 0.500
C1 C 0.000 0.500 0.000
C2 C 0.000 0.000 0.500
C3 C 0.500 0.000 0.000
F1 F 0.000 0.000 0.000